A plane-wave DFT calculation with PBE-GGA was carried out for a relaxed PrSm2ErTe6 crystal.

Summary:
The value obtained for the energy is -153.9 eV for the cell shown. The volume is 380 Å³/f.u. The calculation puts the formation energy without anion corrections at -1368 meV/atom. For the total moment, the calculation gives 0.000 μB per formula unit. The theoretical density comes out at 6.0 g cm⁻³.

Cell lengths 7.8482, 7.8482, 21.3585 Å; angles 90.00, 90.00, 120.00 degrees
Space group R3 (No. 146, hexagonal axes)
Inequivalent atoms, fractional coordinates:
Pr1 0.0000 0.0000 0.0000 x3
Sm1 0.0000 0.0000 0.3077 x3
Sm2 0.0000 0.0000 0.8104 x3
Er1 0.0000 0.0000 0.4966 x3
Te1 0.0053 0.6983 0.4051 x9
Te2 0.0218 0.3459 0.5697 x9


A plane-wave DFT calculation with PBE-GGA was carried out for a relaxed Pr2SmErTe6 crystal.

Summary:
The value obtained for the energy is -154.2 eV for the cell shown. The volume is 384 Å³/f.u. The calculation puts the formation energy without anion corrections at -1371 meV/atom. For the total moment, the calculation gives 0.000 μB per formula unit. The theoretical density comes out at 5.9 g cm⁻³.

Cell lengths 7.8991, 7.8991, 21.3322 Å; angles 90.00, 90.00, 120.00 degrees
Space group R3 (No. 146, hexagonal axes)
Inequivalent atoms, fractional coordinates:
Pr1 0.0000 0.0000 0.0000 x3
Pr2 0.0000 0.0000 0.4994 x3
Sm1 0.0000 0.0000 0.1915 x3
Er1 0.0000 0.0000 0.6905 x3
Te1 0.0319 0.3447 0.7653 x9
Te2 0.0363 0.6821 0.2672 x9


A plane-wave DFT calculation with PBE-GGA was carried out for a relaxed PrSm3Er2Te6 crystal.

Summary:
The value obtained for the energy is -125.9 eV for the cell shown. The volume is 366 Å³/f.u. The calculation puts the formation energy without anion corrections at -1337 meV/atom. For the total moment, the calculation gives 0.000 μB per formula unit. The theoretical density comes out at 7.7 g cm⁻³.

Cell lengths 19.237, 4.381, 8.907 Å; angles 90.00, 102.71, 90.00 degrees
Space group C2/m (No. 12)
Inequivalent atoms, fractional coordinates:
Pr1 0.000 0.000 0.000 x2
Sm1 0.000 0.000 0.500 x2
Sm2 0.159 0.500 0.834 x4
Er1 0.164 0.500 0.331 x4
Te1 0.005 0.500 0.257 x4
Te2 0.170 0.000 0.579 x4
Te3 0.172 0.000 0.094 x4


A plane-wave DFT calculation with PBE-GGA was carried out for a relaxed PrSmErTe3 crystal.

Summary:
The value obtained for the energy is -61.7 eV for the cell shown. The volume is 195 Å³/f.u. The calculation puts the formation energy without anion corrections at -1226 meV/atom. For the total moment, the calculation gives 0.000 μB per formula unit. The theoretical density comes out at 7.2 g cm⁻³.

Cell lengths 8.534, 4.348, 10.828 Å; angles 90.00, 104.52, 90.00 degrees
Space group P2_1/m (No. 11)
Inequivalent atoms, fractional coordinates:
Pr1 0.195 0.250 0.225 x2
Sm1 0.330 0.750 0.915 x2
Er1 0.151 0.250 0.621 x2
Te1 0.073 0.250 0.886 x2
Te2 0.226 0.750 0.456 x2
Te3 0.491 0.750 0.212 x2


A plane-wave DFT calculation with PBE-GGA was carried out for a relaxed Pr2SmEr3Te6 crystal.

Summary:
The value obtained for the energy is -125.4 eV for the cell shown. The volume is 364 Å³/f.u. The calculation puts the formation energy without anion corrections at -1324 meV/atom. For the total moment, the calculation gives 0.000 μB per formula unit. The theoretical density comes out at 7.7 g cm⁻³.

Cell lengths 19.403, 4.346, 8.963 Å; angles 90.00, 105.48, 90.00 degrees
Space group C2/m (No. 12)
Inequivalent atoms, fractional coordinates:
Pr1 0.168 0.000 0.335 x4
Sm1 0.000 0.500 0.000 x2
Er1 0.000 0.500 0.500 x2
Er2 0.169 0.000 0.835 x4
Te1 0.005 0.000 0.745 x4
Te2 0.162 0.500 0.594 x4
Te3 0.168 0.500 0.072 x4


A plane-wave DFT calculation with PBE-GGA was carried out for a relaxed Pr3Sm2ErTe6 crystal.

Summary:
The value obtained for the energy is -127.7 eV for the cell shown. The volume is 378 Å³/f.u. The calculation puts the formation energy without anion corrections at -1387 meV/atom. For the total moment, the calculation gives 0.000 μB per formula unit. The theoretical density comes out at 7.3 g cm⁻³.

Cell lengths 19.534, 4.426, 9.019 Å; angles 90.00, 103.91, 90.00 degrees
Space group C2/m (No. 12)
Inequivalent atoms, fractional coordinates:
Pr1 0.000 0.000 0.000 x2
Pr2 0.171 0.500 0.334 x4
Sm1 0.169 0.500 0.837 x4
Er1 0.000 0.000 0.500 x2
Te1 0.001 0.500 0.738 x4
Te2 0.160 0.000 0.585 x4
Te3 0.167 0.000 0.079 x4


A plane-wave DFT calculation with PBE-GGA was carried out for a relaxed Pr2SmEr5Th crystal.

Summary:
The value obtained for the energy is -167.7 eV for the cell shown. The volume is 292 Å³/f.u. For the calculated formation energy, the calculation gives 0.288 eV per atom. For the total moment, the calculation gives 0.000 μB per formula unit. The theoretical density comes out at 8.5 g cm⁻³.

Cell lengths 8.696, 8.696, 15.470 Å; angles 90.00, 90.00, 90.00 degrees
Space group I4/mcm (No. 140)
Inequivalent atoms, fractional coordinates:
Pr1 0.117 0.383 0.000 x8
Sm1 0.000 0.500 0.250 x4
Er1 0.000 0.000 0.000 x4
Er2 0.213 0.287 0.360 x16
Th1 0.000 0.000 0.250 x4


A plane-wave DFT calculation with PBE-GGA was carried out for a relaxed PrSm5Er2Th crystal.

Summary:
The value obtained for the energy is -173.7 eV for the cell shown. The volume is 304 Å³/f.u. For the calculated formation energy, the calculation gives 0.165 eV per atom. For the total moment, the calculation gives 0.000 μB per formula unit. The theoretical density comes out at 8.0 g cm⁻³.

Cell lengths 5.689, 20.332, 10.519 Å; angles 90.00, 90.00, 90.00 degrees
Space group Cmc2_1 (No. 36)
Inequivalent atoms, fractional coordinates:
Pr1 0.000 0.088 0.000 x4
Sm1 0.000 0.023 0.294 x4
Sm2 0.000 0.112 0.581 x4
Sm3 0.000 0.206 0.260 x4
Sm4 0.000 0.223 0.869 x4
Sm5 0.000 0.484 0.577 x4
Er1 0.000 0.385 0.874 x4
Er2 0.000 0.386 0.288 x4
Th1 0.000 0.301 0.568 x4


A plane-wave DFT calculation with PBE-GGA was carried out for a relaxed Pr2Sm4ErTh crystal.

Summary:
The value obtained for the energy is -39.3 eV for the cell shown. The volume is 270 Å³/f.u. For the calculated formation energy, the calculation gives 0.135 eV per atom. For the total moment, the calculation gives 0.000 μB per formula unit. The theoretical density comes out at 7.9 g cm⁻³.

Cell lengths 6.062, 6.062, 7.344 Å; angles 90.00, 90.07, 90.00 degrees
Space group P2/m (No. 10)
Inequivalent atoms, fractional coordinates:
Pr1 0.000 0.000 0.000 x1
Pr2 0.500 0.500 0.500 x1
Sm1 0.000 0.500 0.247 x2
Sm2 0.500 0.000 0.247 x2
Er1 0.000 0.000 0.500 x1
Th1 0.500 0.500 0.000 x1


A plane-wave DFT calculation with PBE-GGA was carried out for a relaxed PrSm3Er6Th2 crystal.

Summary:
The value obtained for the energy is -121.6 eV for the cell shown. The volume is 383 Å³/f.u. For the calculated formation energy, the calculation gives 0.028 eV per atom. For the total moment, the calculation gives 0.000 μB per formula unit. The theoretical density comes out at 8.9 g cm⁻³.

Cell lengths 6.203, 10.741, 11.693 Å; angles 90.00, 100.21, 90.00 degrees
Space group C2/m (No. 12)
Inequivalent atoms, fractional coordinates:
Pr1 0.000 0.000 0.000 x2
Sm1 0.000 0.166 0.500 x4
Sm2 0.000 0.500 0.500 x2
Er1 0.244 0.500 0.247 x4
Er2 0.248 0.331 0.753 x8
Th1 0.000 0.333 0.000 x4


A plane-wave DFT calculation with PBE-GGA was carried out for a relaxed Pr6Sm2ErTh crystal.

Summary:
The value obtained for the energy is -194.7 eV for the cell shown. The volume is 350 Å³/f.u. For the calculated formation energy, the calculation gives 0.142 eV per atom. For the total moment, the calculation gives 0.000 μB per formula unit. The theoretical density comes out at 7.3 g cm⁻³.

Cell lengths 9.356, 15.209, 9.983 Å; angles 90.00, 99.32, 90.00 degrees
Space group C2/c (No. 15)
Inequivalent atoms, fractional coordinates:
Pr1 0.069 0.180 0.445 x8
Pr2 0.097 0.397 0.619 x8
Pr3 0.207 0.217 0.811 x8
Sm1 0.241 0.045 0.047 x8
Er1 0.000 0.408 0.250 x4
Th1 0.000 0.022 0.750 x4


A plane-wave DFT calculation with PBE-GGA was carried out for a relaxed PrSm2ErTh crystal.

Summary:
The value obtained for the energy is -49.2 eV for the cell shown. The volume is 177 Å³/f.u. For the calculated formation energy, the calculation gives 0.320 eV per atom. For the total moment, the calculation gives 0.000 μB per formula unit. The theoretical density comes out at 7.9 g cm⁻³.

Cell lengths 8.635, 6.460, 6.398 Å; angles 90.00, 98.44, 90.00 degrees
Space group P2/c (No. 13)
Inequivalent atoms, fractional coordinates:
Pr1 0.000 0.000 0.000 x2
Sm1 0.316 0.312 0.204 x4
Er1 0.500 0.172 0.750 x2
Th1 0.000 0.453 0.750 x2


A plane-wave DFT calculation with PBE-GGA was carried out for a relaxed Pr4Sm2ErTh crystal.

Summary:
The value obtained for the energy is -39.5 eV for the cell shown. The volume is 274 Å³/f.u. For the calculated formation energy, the calculation gives 0.135 eV per atom. For the total moment, the calculation gives 0.000 μB per formula unit. The theoretical density comes out at 7.6 g cm⁻³.

Cell lengths 6.108, 6.116, 7.347 Å; angles 90.00, 90.10, 90.00 degrees
Space group P2/m (No. 10)
Inequivalent atoms, fractional coordinates:
Pr1 0.000 0.000 0.245 x2
Pr2 0.499 0.500 0.755 x2
Sm1 0.000 0.500 0.000 x1
Sm2 0.500 0.000 0.500 x1
Er1 0.000 0.500 0.500 x1
Th1 0.500 0.000 0.000 x1


A plane-wave DFT calculation with PBE-GGA was carried out for a relaxed PrSmEr3Th crystal.

Summary:
The value obtained for the energy is -117.2 eV for the cell shown. The volume is 196 Å³/f.u. For the calculated formation energy, the calculation gives 0.219 eV per atom. For the total moment, the calculation gives 0.000 μB per formula unit. The theoretical density comes out at 8.7 g cm⁻³.

Cell lengths 19.702, 5.626, 7.068 Å; angles 90.00, 90.39, 90.00 degrees
Space group C2/m (No. 12)
Inequivalent atoms, fractional coordinates:
Pr1 0.146 0.000 0.459 x4
Sm1 0.149 0.000 0.037 x4
Er1 0.023 0.000 0.755 x4
Er2 0.158 0.500 0.757 x4
Er3 0.221 0.500 0.254 x4
Th1 0.054 0.500 0.232 x4


A plane-wave DFT calculation with PBE-GGA was carried out for a relaxed Pr2SmErTh crystal.

Summary:
The value obtained for the energy is -49.3 eV for the cell shown. The volume is 177 Å³/f.u. For the calculated formation energy, the calculation gives 0.325 eV per atom. For the total moment, the calculation gives 0.000 μB per formula unit. The theoretical density comes out at 7.8 g cm⁻³.

Cell lengths 8.740, 6.325, 6.394 Å; angles 90.00, 90.77, 90.00 degrees
Space group P2/c (No. 13)
Inequivalent atoms, fractional coordinates:
Pr1 0.187 0.208 0.254 x4
Sm1 0.500 0.039 0.750 x2
Er1 0.000 0.317 0.750 x2
Th1 0.500 0.500 0.000 x2


A plane-wave DFT calculation with PBE-GGA was carried out for a relaxed Pr3Sm6Er2Th crystal.

Summary:
The value obtained for the energy is -117.8 eV for the cell shown. The volume is 405 Å³/f.u. For the calculated formation energy, the calculation gives 0.027 eV per atom. For the total moment, the calculation gives 0.000 μB per formula unit. The theoretical density comes out at 7.8 g cm⁻³.

Cell lengths 6.278, 10.857, 12.070 Å; angles 90.00, 99.96, 90.00 degrees
Space group C2/m (No. 12)
Inequivalent atoms, fractional coordinates:
Pr1 0.000 0.000 0.000 x2
Pr2 0.000 0.333 0.000 x4
Sm1 0.247 0.335 0.744 x8
Sm2 0.248 0.500 0.256 x4
Er1 0.000 0.167 0.500 x4
Th1 0.000 0.500 0.500 x2


A plane-wave DFT calculation with PBE-GGA was carried out for a relaxed PrSmEr2Th crystal.

Summary:
The value obtained for the energy is -51.6 eV for the cell shown. The volume is 166 Å³/f.u. For the calculated formation energy, the calculation gives 0.053 eV per atom. For the total moment, the calculation gives 0.000 μB per formula unit. The theoretical density comes out at 8.6 g cm⁻³.

Cell lengths 6.308, 5.767, 9.627 Å; angles 90.00, 109.00, 90.00 degrees
Space group P2_1/m (No. 11)
Inequivalent atoms, fractional coordinates:
Pr1 0.250 0.250 0.191 x2
Sm1 0.467 0.250 0.604 x2
Er1 0.128 0.750 0.594 x2
Er2 0.338 0.750 0.995 x2
Th1 0.082 0.250 0.796 x2


A plane-wave DFT calculation with PBE-GGA was carried out for a relaxed PrSm5ErTh2 crystal.

Summary:
The value obtained for the energy is -179.2 eV for the cell shown. The volume is 311 Å³/f.u. For the calculated formation energy, the calculation gives 0.331 eV per atom. For the total moment, the calculation gives 0.000 μB per formula unit. The theoretical density comes out at 8.1 g cm⁻³.

Cell lengths 8.961, 8.961, 15.516 Å; angles 90.00, 90.00, 90.00 degrees
Space group I4/mcm (No. 140)
Inequivalent atoms, fractional coordinates:
Pr1 0.000 0.000 0.250 x4
Sm1 0.000 0.000 0.000 x4
Sm2 0.208 0.292 0.137 x16
Er1 0.000 0.500 0.250 x4
Th1 0.119 0.381 0.500 x8


A plane-wave DFT calculation with PBE-GGA was carried out for a relaxed PrSm2Er4Th crystal.

Summary:
The value obtained for the energy is -39.7 eV for the cell shown. The volume is 258 Å³/f.u. For the calculated formation energy, the calculation gives 0.028 eV per atom. For the total moment, the calculation gives 0.000 μB per formula unit. The theoretical density comes out at 8.6 g cm⁻³.

Cell lengths 5.089, 5.105, 9.932 Å; angles 90.00, 90.00, 90.00 degrees
Space group Pmmm (No. 47)
Inequivalent atoms, fractional coordinates:
Pr1 0.000 0.000 0.000 x1
Sm1 0.000 0.000 0.500 x1
Sm2 0.500 0.500 0.000 x1
Er1 0.000 0.500 0.255 x2
Er2 0.500 0.000 0.255 x2
Th1 0.500 0.500 0.500 x1


A plane-wave DFT calculation with PBE-GGA was carried out for a relaxed Pr4SmEr2Th crystal.

Summary:
The value obtained for the energy is -40.3 eV for the cell shown. The volume is 272 Å³/f.u. For the calculated formation energy, the calculation gives 0.015 eV per atom. For the total moment, the calculation gives 0.000 μB per formula unit. The theoretical density comes out at 7.8 g cm⁻³.

Cell lengths 5.098, 5.155, 10.348 Å; angles 90.00, 90.01, 90.00 degrees
Space group P2/m (No. 10)
Inequivalent atoms, fractional coordinates:
Pr1 0.002 0.000 0.252 x2
Pr2 0.498 0.500 0.746 x2
Sm1 0.000 0.500 0.000 x1
Er1 0.000 0.500 0.500 x1
Er2 0.500 0.000 0.000 x1
Th1 0.500 0.000 0.500 x1